No. 1
# Tb2Pd4Pb

A geometry-optimized Tb2Pd4Pb structure (PBE, the Alexandria database).

abc: 8.3447 8.3447 8.3447
angles: 33.16 33.16 33.16
With the nearest neighbours (Å) after each atom.
Sites, in units of the cell vectors:
Tb1 0.2447 0.2447 0.2447  8 Pd 2.82-3.03
Tb2 0.7553 0.7553 0.7553  8 Pd 2.82-3.03
Pd1 0.1255 0.1255 0.1255  4 Tb 2.82-2.88, 1 Pb 2.97
Pd2 0.3729 0.3729 0.3729  3 Pb 2.90, 4 Tb 2.98-3.03
Pd3 0.6271 0.6271 0.6271  3 Pb 2.90, 4 Tb 2.98-3.03
Pd4 0.8745 0.8745 0.8745  4 Tb 2.82-2.88, 1 Pb 2.97
Pb1 0.0000 0.0000 0.0000  8 Pd 2.90-2.97

Results
formation enthalpy at 0 K	-0.52	eV/atom
E	-5.34	eV/atom
crystal system	trigonal
energy above the lowest structure with this stoichiometry	191.0	meV per atom
volume	22.10	A^3/atom
space-group type	R-3m

***

No. 2
# Ac7Sn3Pb

A geometry-optimized Ac7Sn3Pb structure (PBE, the Alexandria database).

abc: 8.7351 8.7351 6.4607
angles: 110.95 110.95 92.27
With the nearest neighbours (Å) after each atom.
Sites, in units of the cell vectors:
Ac1 0.0000 0.0000 0.0000  2 Pb 3.23, 2 Sn 3.37
Ac2 0.1019 0.5636 0.3303  4 Sn 3.39-3.71, 4 Ac 3.47-3.78
Ac3 0.3295 0.3295 0.8281  1 Pb 3.42, 4 Sn 3.42-3.72, 3 Ac 3.54-3.78
Ac4 0.4364 0.8981 0.6697  4 Sn 3.39-3.71, 4 Ac 3.47-3.78
Ac5 0.5636 0.1019 0.3303  4 Sn 3.39-3.71, 4 Ac 3.47-3.78
Ac6 0.6705 0.6705 0.1719  1 Pb 3.42, 4 Sn 3.42-3.72, 3 Ac 3.54-3.78
Ac7 0.8981 0.4364 0.6697  4 Sn 3.39-3.71, 4 Ac 3.47-3.78
Sn1 0.2673 0.7327 0.0000  9 Ac 3.37-3.71
Sn2 0.5000 0.5000 0.5000  8 Ac 3.39-3.72
Sn3 0.7327 0.2673 0.0000  9 Ac 3.37-3.71
Pb1 0.0000 0.0000 0.5000  4 Ac 3.23-3.42

Results
formation enthalpy at 0 K	-0.38	eV/atom
E	-4.42	eV/atom
crystal system	monoclinic
volume	38.36	A^3/atom
space-group type	C2/m

***

No. 3
# Pr6Co2Bi

A geometry-optimized Pr6Co2Bi structure (PBE, the Alexandria database).

abc: 8.8263 8.8263 8.8263
angles: 112.77 108.65 107.04
With the nearest neighbours (Å) after each atom.
Sites, in units of the cell vectors:
Pr1 0.0286 0.7922 0.2364  1 Co 2.62
Pr2 0.1785 0.4639 0.2854  3 Co 3.04-3.07, 1 Bi 3.36
Pr3 0.1785 0.8931 0.7146  3 Co 3.04-3.07, 1 Bi 3.36
Pr4 0.3283 0.3220 0.6502  1 Co 2.82
Pr5 0.3283 0.6780 0.0063  1 Co 2.82
Pr6 0.4443 0.2078 0.2364  1 Co 2.62
Pr7 0.5557 0.7922 0.7636  1 Co 2.62
Pr8 0.6717 0.3220 0.9937  1 Co 2.82
Pr9 0.6717 0.6780 0.3498  1 Co 2.82
Pr10 0.8215 0.1069 0.2854  3 Co 3.04-3.07, 1 Bi 3.36
Pr11 0.8215 0.5361 0.7146  3 Co 3.04-3.07, 1 Bi 3.36
Pr12 0.9714 0.2078 0.7636  1 Co 2.62
Co1 0.1123 0.5000 0.6123  1 Co 2.31
Co2 0.3001 0.3001 0.0000  2 Pr 2.62
Co3 0.6999 0.6999 0.0000  2 Pr 2.62
Co4 0.8877 0.5000 0.3877  1 Co 2.31
Bi1 0.0000 0.0000 0.0000  2 Co 3.15, 8 Pr 3.27-3.36
Bi2 0.5000 0.0000 0.5000  8 Pr 3.48-3.61

Results
formation enthalpy at 0 K	-0.20	eV/atom
E	-5.40	eV/atom
crystal system	orthorhombic
volume	29.33	A^3/atom
space-group type	Immm

***

Q: Which value of volume does entry 1 give?
A: 22.10 A^3/atom